K4Sm3MnO8: optimized geometry, GGA+U.

Its total energy is -103.01 eV for the cell shown. Its space group is C2/m. The calculation puts the mass density at 4.89 g cm⁻³. Its volume is 16.78 Å³/atom.

Cell: 6.8655 7.3943 7.0955 Å, 117.29 118.93 90.00°
Last column: magnetic moment on the atom in μB.
Atoms (fractional coordinates):
1 K 0.5000 0.0000 0.0000  0.00
2 K 0.0000 0.0000 0.0000  0.00
3 K 0.0000 0.0000 0.5000  0.00
4 K 0.5000 0.0000 0.5000  0.00
5 Sm 0.5000 0.5000 0.0000  0.01
6 Sm 0.5000 0.5000 0.5000  0.00
7 Sm 0.0000 0.5000 0.5000  0.00
8 O 0.2605 0.7192 0.5209  0.06
9 O 0.7227 0.6902 0.4454  0.00
10 O 0.1957 0.6681 0.9577  -0.04
11 O 0.8043 0.3319 0.0423  -0.04
12 O 0.2380 0.3319 0.0423  -0.04
13 O 0.7395 0.2808 0.4791  0.06
14 O 0.2773 0.3098 0.5546  0.00
15 O 0.7620 0.6681 0.9577  -0.04
16 Mn 0.0000 0.5000 0.0000  3.97